Entry 1:
Density functional theory data (PBE) for an optimized crystal structure of CeMgH6Ir2.

Output
DOS at the Fermi energy: 0.308 states/eV per atom
Calculated density: 9.7 g/cm³

a b c (Å): 5.848 5.848 5.848
angles (deg): 46.27 46.27 46.27
Atoms (fractional coordinates):
1 Ce 0.000 0.000 0.000
2 Mg 0.500 0.500 0.500
3 H 0.064 0.559 0.559
4 H 0.441 0.441 0.936
5 H 0.441 0.936 0.441
6 H 0.559 0.064 0.559
7 H 0.559 0.559 0.064
8 H 0.936 0.441 0.441
9 Ir 0.210 0.210 0.210
10 Ir 0.790 0.790 0.790

=====

Entry 2:
Density functional theory data (PBE) for an optimized crystal structure of CeMnH8Ir2.

Output
DOS at the Fermi energy: 0.521 states/eV per atom
Calculated density: 9.7 g/cm³

a b c (Å): 5.946 5.946 5.946
angles (deg): 46.37 46.37 46.37
Atoms (fractional coordinates):
1 Ce 0.000 0.000 0.000
2 Mn 0.500 0.500 0.500
3 H 0.127 0.555 0.555
4 H 0.318 0.318 0.318
5 H 0.445 0.445 0.873
6 H 0.445 0.873 0.445
7 H 0.555 0.127 0.555
8 H 0.555 0.555 0.127
9 H 0.682 0.682 0.682
10 H 0.873 0.445 0.445
11 Ir 0.213 0.213 0.213
12 Ir 0.787 0.787 0.787

=====

| no. | total energy (eV/atom) |
| --- | --- |
| 1 | -4.965 |
| 2 | -5.138 |